1.
VASP calculation (PBE-GGA) on a geometry-optimized YSiN2O structure.

The structure belongs to space group P4/mmm (No. 123); the cell edges are 3.6136, 3.6136 and 3.8138 Å and the angles 90.00°, 90.00° and 90.00°. The asymmetric unit holds Y at (0.0000, 0.0000, 0.0000), Si at (0.5000, 0.5000, 0.5000), N at (0.0000, 0.5000, 0.5000) and O at (0.5000, 0.5000, 0.0000).

2.
VASP calculation (PBE-GGA) on a geometry-optimized YSiN2O structure.

The structure belongs to space group P4/mmm (No. 123); the cell edges are 4.5122, 4.5122 and 4.2949 Å and the angles 90.00°, 90.00° and 90.00°. The asymmetric unit holds Y at (0.0000, 0.0000, 0.0000), Si at (0.5000, 0.5000, 0.5000), N at (0.0000, 0.5000, 0.0000) and O at (0.0000, 0.0000, 0.5000).

3.
VASP calculation (PBE-GGA) on a geometry-optimized ZnSiN2O structure.

The structure belongs to space group P4/mmm (No. 123); the cell edges are 3.8984, 3.8984 and 3.9656 Å and the angles 90.00°, 90.00° and 90.00°. The asymmetric unit holds Zn at (0.0000, 0.0000, 0.0000), Si at (0.5000, 0.5000, 0.5000), N at (0.0000, 0.5000, 0.0000) and O at (0.0000, 0.0000, 0.5000).

4.
VASP calculation (PBE-GGA) on a geometry-optimized ZnSiN2O structure.

The structure belongs to space group P4/mmm (No. 123); the cell edges are 3.6409, 3.6409 and 3.5542 Å and the angles 90.00°, 90.00° and 90.00°. The asymmetric unit holds Zn at (0.0000, 0.0000, 0.0000), Si at (0.5000, 0.5000, 0.5000), N at (0.0000, 0.5000, 0.5000) and O at (0.5000, 0.5000, 0.0000).

5.
VASP calculation (PBE-GGA) on a geometry-optimized ZrSiNO2 structure.

The structure belongs to space group P4/mmm (No. 123); the cell edges are 4.1121, 4.1121 and 4.3282 Å and the angles 90.00°, 90.00° and 90.00°. The asymmetric unit holds Zr at (0.0000, 0.0000, 0.0000), Si at (0.5000, 0.5000, 0.5000), N at (0.0000, 0.0000, 0.5000) and O at (0.0000, 0.5000, 0.0000).

6.
VASP calculation (PBE-GGA) on a geometry-optimized ZrSiNO2 structure.

The structure belongs to space group P4/mmm (No. 123); the cell edges are 3.5307, 3.5307 and 3.7608 Å and the angles 90.00°, 90.00° and 90.00°. The asymmetric unit holds Zr at (0.0000, 0.0000, 0.0000), Si at (0.5000, 0.5000, 0.5000), N at (0.5000, 0.5000, 0.0000) and O at (0.0000, 0.5000, 0.5000).

7.
VASP calculation (PBE-GGA) on a geometry-optimized Sm8N2O structure.

The structure belongs to space group C2/m (No. 12); the cell edges are 11.4564, 8.4694 and 5.5211 Å and the angles 90.00°, 90.41° and 90.00°. The asymmetric unit holds Sm at (0.0998, 0.2141, 0.2398), Sm at (0.1029, 0.5000, 0.7491), Sm at (0.1827, 0.0000, 0.7514), N at (0.1092, 0.5000, 0.2671) and O at (0.0000, 0.0000, 0.0000).

8.
VASP calculation (PBE-GGA) on a geometry-optimized Sm2NO structure.

The structure belongs to space group R3m (No. 160, hexagonal axes); the cell edges are 3.4812, 3.4812 and 18.2972 Å and the angles 90.00°, 90.00° and 120.00°. The asymmetric unit holds Sm at (0.0000, 0.0000, 0.0000), Sm at (0.0000, 0.0000, 0.1785), N at (0.0000, 0.0000, 0.5878) and O at (0.0000, 0.0000, 0.7581).

The value obtained for the offset from the most stable computed form is 13.8 kJ/mol of atoms.

no.,magnetic moment (μB/atom),ΔE_f (raw) (eV per atom)
1,0.01,-1.43
2,0.60,0.68
3,0.62,1.42
4,0.30,0.01
5,0.18,-0.78
6,0.00,-1.67
7,0.00,-0.96
8,0.00,-2.09